# 1
Material: Ce7Te4As4
Method: DFT, PBE
State: optimized geometry

The structure in POSCAR format:
```
Ce7Te4As4
1.0
-7.651 7.651 3.708
7.651 -7.651 3.708
7.651 7.651 -3.708
Ce Te As
14 8 8
direct
0.000 0.283 0.283
0.000 0.717 0.717
0.120 0.500 0.620
0.247 0.247 0.000
0.283 0.000 0.283
0.289 0.289 0.578
0.289 0.711 0.000
0.500 0.120 0.620
0.500 0.880 0.380
0.711 0.289 0.000
0.711 0.711 0.422
0.717 0.000 0.717
0.753 0.753 0.000
0.880 0.500 0.380
0.129 0.129 0.257
0.129 0.871 0.000
0.324 0.500 0.824
0.500 0.324 0.824
0.500 0.676 0.176
0.676 0.500 0.176
0.871 0.129 0.000
0.871 0.871 0.743
0.104 0.604 0.207
0.104 0.896 0.500
0.396 0.604 0.500
0.396 0.896 0.793
0.604 0.104 0.207
0.604 0.396 0.500
0.896 0.104 0.500
0.896 0.396 0.793
```

Calculated values
Symmetry = I4/mmm (139)
Formation energy without anion corrections = -1240 meV/atom

# 2
Material: Ce2TeAs
Method: DFT, PBE
State: optimized geometry

The structure in POSCAR format:
```
Ce2TeAs
1.0
2.162 1.248 7.250
-2.162 1.248 7.250
0.000 -2.496 7.250
Ce Te As
2 1 1
direct
0.242 0.242 0.242
0.758 0.758 0.758
0.000 0.000 0.000
0.500 0.500 0.500
```

Calculated values
Offset from the most stable computed form = 0.00 kJ/mol of atoms
Symmetry = R-3m (166)
Formation energy without anion corrections = -1422 meV/atom

# 3
Material: Ce2Te2As
Method: DFT, PBE
State: optimized geometry

The structure in POSCAR format:
```
Ce2Te2As
1.0
-4.259 6.120 3.071
4.259 -6.120 3.071
4.259 6.120 -3.071
Ce Te As
4 4 2
direct
0.110 0.249 0.359
0.390 0.749 0.140
0.610 0.251 0.860
0.890 0.751 0.641
0.143 0.865 0.008
0.357 0.365 0.723
0.643 0.635 0.277
0.857 0.135 0.992
0.250 0.750 0.500
0.750 0.250 0.500
```

Calculated values
Symmetry = Ibam (72)
Formation energy without anion corrections = -1214 meV/atom

# 4
Material: CeThTeAs
Method: DFT, PBE
State: optimized geometry

The structure in POSCAR format:
```
CeThTeAs
1.0
2.158 1.246 7.281
-2.158 1.246 7.281
0.000 -2.491 7.281
Ce Th Te As
1 1 1 1
direct
0.000 0.000 0.000
0.520 0.520 0.520
0.759 0.759 0.759
0.260 0.260 0.260
```

Calculated values
Symmetry = R3m (160)
Formation energy without anion corrections = -1348 meV/atom

# 5
Material: Ce2Th2As5
Method: DFT, PBE
State: optimized geometry

The structure in POSCAR format:
```
Ce2Th2As5
1.0
7.392 -3.934 0.000
7.392 3.934 0.000
0.000 0.000 7.895
Ce Th As
4 4 10
direct
0.152 0.848 0.844
0.348 0.652 0.344
0.652 0.348 0.656
0.848 0.152 0.156
0.197 0.197 0.500
0.303 0.303 0.000
0.697 0.697 0.000
0.803 0.803 0.500
0.000 0.000 0.500
0.020 0.703 0.154
0.203 0.520 0.654
0.297 0.980 0.154
0.480 0.797 0.654
0.500 0.500 0.000
0.520 0.203 0.346
0.703 0.020 0.846
0.797 0.480 0.346
0.980 0.297 0.846
```

Calculated values
Symmetry = Cmce (64)
DFT total energy = -6.827 eV per atom

# 6
Material: CeThAs2
Method: DFT, PBE
State: optimized geometry

The structure in POSCAR format:
```
CeThAs2
1.0
4.187 0.000 0.000
-2.093 3.626 0.000
0.000 0.000 14.108
Ce Th As
2 2 4
direct
0.000 0.000 0.000
0.000 0.000 0.500
0.333 0.667 0.250
0.667 0.333 0.750
0.333 0.667 0.621
0.333 0.667 0.879
0.667 0.333 0.121
0.667 0.333 0.379
```

Calculated values
Offset from the most stable computed form = 4.28 kJ/mol of atoms
Symmetry = P6_3/mmc (194)

# 7
Material: CeThAs
Method: DFT, PBE
State: optimized geometry

The structure in POSCAR format:
```
CeThAs
1.0
-1.906 1.906 5.592
1.906 -1.906 5.592
1.906 1.906 -5.592
Ce Th As
1 1 1
direct
0.000 0.000 0.000
0.279 0.279 0.000
0.639 0.639 0.000
```

Calculated values
Symmetry = I4mm (107)
DFT total energy = -6.619 eV per atom

# 8
Material: CeTh4As5
Method: DFT, PBE
State: optimized geometry

The structure in POSCAR format:
```
CeTh4As5
1.0
-4.748 4.748 3.005
4.748 -4.748 3.005
4.748 4.748 -3.005
Ce Th As
1 4 5
direct
0.000 0.000 0.000
0.200 0.401 0.601
0.401 0.800 0.200
0.599 0.200 0.800
0.800 0.599 0.399
0.100 0.702 0.801
0.298 0.100 0.398
0.500 0.500 0.000
0.702 0.900 0.602
0.900 0.298 0.199
```

Calculated values
Symmetry = I4/m (87)
DFT total energy = -7.298 eV per atom

# 9
Material: Ce5ThAs6
Method: DFT, PBE
State: optimized geometry

The structure in POSCAR format:
```
Ce5ThAs6
1.0
3.662 -6.343 0.000
3.662 6.343 0.000
-2.441 0.000 6.903
Ce Th As
5 1 6
direct
0.000 0.000 0.000
0.167 0.833 0.500
0.333 0.667 0.000
0.667 0.333 0.000
0.833 0.167 0.500
0.500 0.500 0.500
0.082 0.416 0.249
0.249 0.249 0.751
0.416 0.082 0.249
0.584 0.918 0.751
0.751 0.751 0.249
0.918 0.584 0.751
```

Calculated values
Symmetry = C2/m (12)
DFT total energy = -6.845 eV per atom

# 10
Material: Ce4ThAs5
Method: DFT, PBE
State: optimized geometry

The structure in POSCAR format:
```
Ce4ThAs5
1.0
-2.114 2.990 10.571
2.114 -2.990 10.571
2.114 2.990 -10.571
Ce Th As
4 1 5
direct
0.100 0.100 0.000
0.300 0.300 0.000
0.700 0.700 0.000
0.900 0.900 0.000
0.500 0.500 0.000
0.000 0.500 0.500
0.200 0.700 0.500
0.399 0.899 0.500
0.601 0.101 0.500
0.800 0.300 0.500
```

Calculated values
Symmetry = Immm (71)
DFT total energy = -6.869 eV per atom

# 11
Material: CeTh2As3
Method: DFT, PBE
State: optimized geometry

The structure in POSCAR format:
```
CeTh2As3
1.0
-2.121 3.000 6.373
2.121 -3.000 6.373
2.121 3.000 -6.373
Ce Th As
1 2 3
direct
0.000 0.000 0.000
0.333 0.333 0.000
0.667 0.667 0.000
0.165 0.665 0.500
0.500 0.000 0.500
0.835 0.335 0.500
```

Calculated values
Symmetry = Immm (71)
DFT total energy = -7.209 eV per atom

# 12
Material: Ce6ThAs8
Method: DFT, PBE
State: optimized geometry

The structure in POSCAR format:
```
Ce6ThAs8
1.0
0.000 5.959 5.959
5.959 0.000 5.959
5.959 5.959 0.000
Ce Th As
6 1 8
direct
0.000 0.000 0.500
0.000 0.500 0.000
0.000 0.500 0.500
0.500 0.000 0.000
0.500 0.000 0.500
0.500 0.500 0.000
0.000 0.000 0.000
0.250 0.250 0.250
0.250 0.250 0.750
0.250 0.750 0.250
0.250 0.750 0.750
0.750 0.250 0.250
0.750 0.250 0.750
0.750 0.750 0.250
0.750 0.750 0.750
```

Calculated values
Symmetry = Fm-3m (225)
DFT total energy = -6.579 eV per atom